MgC2I after structural relaxation. Source: Alexandria, functional GGA-PBE.

- ΔE_f (raw): 1878.1 meV per atom
- Calculated density: 4.207 g/cm³
- Energy above the most stable polymorph in this dataset: 0.00 eV/f.u.
- Space group: No. 122

abc: 5.134 5.134 6.381
angles: 66.27 66.27 90.00
Last column: magnetic moment on the atom in μB.
Atoms (fractional coordinates):
I  0.750  0.250  0.500  0.09
I  0.000  0.000  0.000  0.09
C  0.375  0.374  0.750  0.20
C  0.875  0.876  0.750  0.21
C  0.626  0.125  0.250  0.20
C  0.124  0.625  0.250  0.21
Mg  0.500  0.500  0.000  0.01
Mg  0.250  0.750  0.500  0.01

***

K2MnW after structural relaxation. Source: Alexandria, functional GGA-PBE.

- Energy relative to the elements: 1593 meV per atom
- Calculated density: 5.504 g/cm³
- Energy above the most stable polymorph in this dataset: 2.83 eV/f.u.
- Space group: No. 65

abc: 6.697 6.697 2.815
angles: 90.00 90.00 130.75
Last column: magnetic moment on the atom in μB.
Atoms (fractional coordinates):
K  0.000  0.000  0.000  -0.01
K  0.500  0.500  0.000  -0.01
Mn  0.500  0.000  0.500  3.58
W  0.000  0.500  0.500  -0.65

***

Mg2Ir after structural relaxation. Source: Alexandria, functional GGA-PBE.

- Energy relative to the elements: -327 meV per atom
- Calculated density: 7.483 g/cm³
- Space group: No. 227

abc: 8.456 8.456 8.456
angles: 60.00 60.00 60.00
Atoms (fractional coordinates):
Ir  0.287  0.139  0.287
Ir  0.713  0.861  0.713
Ir  0.713  0.213  0.361
Ir  0.713  0.213  0.713
Ir  0.287  0.787  0.639
Ir  0.287  0.787  0.287
Ir  0.639  0.787  0.287
Ir  0.361  0.213  0.713
Mg  0.074  0.176  0.676
Mg  0.926  0.426  0.324
Mg  0.074  0.176  0.074
Mg  0.926  0.824  0.926
Mg  0.324  0.426  0.324
Mg  0.676  0.574  0.676
Mg  0.500  0.000  0.000
Mg  0.324  0.426  0.926
Mg  0.500  0.000  0.500
Mg  0.324  0.824  0.926
Mg  0.926  0.824  0.324
Mg  0.000  0.000  0.500
Mg  0.500  0.500  0.500
Mg  0.676  0.574  0.074
Mg  0.074  0.574  0.676
Mg  0.676  0.176  0.074

***

Ba2TeCl after structural relaxation. Source: Alexandria, functional GGA-PBE.

- ΔE_f (raw): -1665.7 meV per atom
- Calculated density: 4.570 g/cm³
- Energy above the most stable polymorph in this dataset: 0.48 eV/f.u.
- Space group: No. 47

abc: 4.334 4.326 8.483
angles: 90.01 90.00 90.00
Atoms (fractional coordinates):
Te  0.500  0.750  0.750
Ba  0.000  0.250  0.982
Ba  0.000  0.250  0.518
Cl  0.500  0.250  0.250

***

SrLa2YRe after structural relaxation. Source: Alexandria, functional GGA-PBE.

- Energy relative to the elements: 143 meV per atom
- Calculated density: 5.856 g/cm³
- Space group: No. 123

abc: 5.623 5.623 5.744
angles: 90.00 90.00 90.00
Atoms (fractional coordinates):
Re  0.000  0.000  0.000
La  0.000  0.500  0.000
La  0.500  0.000  0.000
Sr  0.500  0.500  0.500
Y  0.000  0.000  0.500

***

FeSiI2 after structural relaxation. Source: Alexandria, functional GGA-PBE.

- ΔE_f (raw): 764.4 meV per atom
- Calculated density: 4.443 g/cm³
- Energy above the most stable polymorph in this dataset: 0.00 eV/f.u.
- Space group: No. 122

abc: 7.114 7.114 7.085
angles: 59.87 59.87 90.00
Last column: magnetic moment on the atom in μB.
Atoms (fractional coordinates):
Si  0.500  0.500  0.000  0.04
Si  0.250  0.750  0.500  0.04
I  0.077  0.625  0.250  0.04
I  0.375  0.327  0.750  0.04
I  0.875  0.923  0.750  0.04
I  0.673  0.125  0.250  0.04
Fe  0.750  0.250  0.500  2.71
Fe  0.000  0.000  0.000  2.71